(1)
# Tb5SmRh6 PBE-GGA relaxed
# Magnetic moment in μB per atom: 0.00
# SG: Cmmm
# DFT total energy in eV/atom: -6.820
# Energy relative to the elements in kJ per mole of atoms: -79.3
data_Tb5SmRh6
_symmetry_space_group_name_H-M 'P 1'
_symmetry_Int_Tables_number 1
_cell_length_a 4.8816
_cell_length_b 6.8936
_cell_length_c 7.7236
_cell_angle_alpha 90.00
_cell_angle_beta 71.58
_cell_angle_gamma 90.00
loop_
_symmetry_equiv_pos_as_xyz
'x,y,z'
loop_
_atom_site_label
_atom_site_fract_x
_atom_site_fract_y
_atom_site_fract_z
_atom_site_occupancy
Tb1 0.3332 0.5000 0.3335 1
Tb2 0.6668 0.5000 0.6665 1
Tb3 0.3328 0.0000 0.3344 1
Tb4 0.6672 0.0000 0.6656 1
Tb5 0.0000 0.5000 0.0000 1
Rh1 0.8321 0.7487 0.3358 1
Rh2 0.1679 0.2513 0.6642 1
Rh3 0.5000 0.2535 0.0000 1
Rh4 0.1679 0.7487 0.6642 1
Rh5 0.5000 0.7465 0.0000 1
Rh6 0.8321 0.2513 0.3358 1
Sm1 0.0000 0.0000 0.0000 1

(2)
# Sc2CoBr PBE-GGA relaxed
# ΔE to the lowest computed polymorph in meV per atom: 548
# Magnetic moment in μB per atom: 0.00
# SG: Fm-3m
# Formation energy without anion corrections in kJ/mol of formula units: -37
# DFT total energy in eV/atom: -5.456
data_Sc2CoBr
_symmetry_space_group_name_H-M 'P 1'
_symmetry_Int_Tables_number 1
_cell_length_a 4.7068
_cell_length_b 4.7068
_cell_length_c 4.7068
_cell_angle_alpha 60.00
_cell_angle_beta 60.00
_cell_angle_gamma 60.00
loop_
_symmetry_equiv_pos_as_xyz
'x,y,z'
loop_
_atom_site_label
_atom_site_fract_x
_atom_site_fract_y
_atom_site_fract_z
_atom_site_occupancy
Co1 0.0000 0.0000 0.0000 1
Sc1 0.2500 0.2500 0.2500 1
Sc2 0.7500 0.7500 0.7500 1
Br1 0.5000 0.5000 0.5000 1

(3)
# Li4TcMo3N8 PBE-GGA relaxed
# Magnetic moment in μB per atom: 0.00
# SG: R-3m
# Formation energy without anion corrections in kJ/mol of formula units: -579
# DFT total energy in eV/atom: -7.695
data_Li4TcMo3N8
_symmetry_space_group_name_H-M 'P 1'
_symmetry_Int_Tables_number 1
_cell_length_a 5.8869
_cell_length_b 6.2195
_cell_length_c 5.8870
_cell_angle_alpha 118.25
_cell_angle_beta 120.00
_cell_angle_gamma 90.00
loop_
_symmetry_equiv_pos_as_xyz
'x,y,z'
loop_
_atom_site_label
_atom_site_fract_x
_atom_site_fract_y
_atom_site_fract_z
_atom_site_occupancy
Mo1 0.5000 0.5000 0.5000 1
Mo2 0.0000 0.5000 0.5000 1
Mo3 0.5000 0.5000 0.0000 1
Li1 0.0000 0.0000 0.5000 1
Li2 0.0000 0.0000 0.0000 1
Li3 0.5000 0.0000 0.5000 1
Li4 0.5000 0.0000 0.0000 1
N1 0.2454 0.7324 0.4908 1
N2 0.2584 0.2676 0.0130 1
N3 0.7546 0.2676 0.0130 1
N4 0.7416 0.7324 0.9870 1
N5 0.7435 0.7305 0.4871 1
N6 0.2454 0.7324 0.9870 1
N7 0.7546 0.2676 0.5092 1
N8 0.2565 0.2695 0.5129 1
Tc1 0.0000 0.5000 0.0000 1